# 1
First-principles (PBE) data for a relaxed Tm6Sb2Ir crystal, as listed in Alexandria.

Values from the calculation:
**ΔE_f (raw)**: -657.3 meV/atom
**Symmetry**: P2_1/c, No. 14

Unit cell a=6.3139 b=7.8073 c=11.7236 alpha=90.00 beta=120.84 gamma=90.00
Fractional coordinates of all 18 atoms:
Tm: 0.0911 0.1851 0.4560
Tm: 0.0911 0.3149 0.9560
Tm: 0.3181 0.6767 0.4549
Tm: 0.3181 0.8233 0.9549
Tm: 0.3781 0.0248 0.2455
Tm: 0.3781 0.4752 0.7455
Tm: 0.6219 0.5248 0.2545
Tm: 0.6219 0.9752 0.7545
Tm: 0.6819 0.1767 0.0451
Tm: 0.6819 0.3233 0.5451
Tm: 0.9089 0.6851 0.0440
Tm: 0.9089 0.8149 0.5440
Sb: 0.1528 0.1166 0.7479
Sb: 0.1528 0.3834 0.2479
Sb: 0.8472 0.6166 0.7521
Sb: 0.8472 0.8834 0.2521
Ir: 0.5000 0.0000 0.5000
Ir: 0.5000 0.5000 0.0000


# 2
First-principles (PBE) data for a relaxed MnTeSe2 crystal, as listed in Alexandria.

Values from the calculation:
**ΔE_f (raw)**: -157.4 meV/atom
**Symmetry**: P2/m, No. 10

Unit cell a=5.1290 b=3.4473 c=5.4830 alpha=90.00 beta=106.71 gamma=90.00
Fractional coordinates of all 4 atoms:
Mn: 0.0000 0.0000 0.0000
Te: 0.0000 0.0000 0.5000
Se: 0.3560 0.5000 0.1519
Se: 0.6440 0.5000 0.8481


# 3
First-principles (PBE) data for a relaxed TcHgOs2 crystal, as listed in Alexandria.

Values from the calculation:
**Uncorrected energy**: -60.28 eV for the cell shown
**Symmetry**: Cmm2, No. 35

Unit cell a=2.8090 b=4.7822 c=9.6858 alpha=90.00 beta=90.00 gamma=90.00
Fractional coordinates of all 8 atoms:
Tc: 0.0000 0.0000 0.0000
Tc: 0.5000 0.5000 0.0000
Hg: 0.0000 0.5000 0.2700
Hg: 0.5000 0.0000 0.2700
Os: 0.0000 0.0000 0.5397
Os: 0.0000 0.5000 0.7723
Os: 0.5000 0.0000 0.7723
Os: 0.5000 0.5000 0.5397


# 4
First-principles (PBE) data for a relaxed ZnRe3F crystal, as listed in Alexandria.

Values from the calculation:
**ΔE_f (raw)**: 1461.0 meV/atom
**Symmetry**: Pm-3m, No. 221

Unit cell a=4.2090 b=4.2090 c=4.2090 alpha=90.00 beta=90.00 gamma=90.00
Fractional coordinates of all 5 atoms:
Zn: 0.0000 0.0000 0.0000
Re: 0.0000 0.5000 0.5000
Re: 0.5000 0.0000 0.5000
Re: 0.5000 0.5000 0.0000
F: 0.5000 0.5000 0.5000


# 5
First-principles (PBE) data for a relaxed Na2MgCrCu crystal, as listed in Alexandria.

Values from the calculation:
**Uncorrected energy**: -12.41 eV for the cell shown
**Symmetry**: P4/mmm, No. 123

Unit cell a=5.5716 b=5.5716 c=5.2342 alpha=90.00 beta=90.00 gamma=90.00
Fractional coordinates of all 5 atoms:
Na: 0.0000 0.5000 0.0000
Na: 0.5000 0.0000 0.0000
Mg: 0.0000 0.0000 0.0000
Cr: 0.0000 0.0000 0.5000
Cu: 0.5000 0.5000 0.5000


# 6
First-principles (PBE) data for a relaxed Cu2MoIr crystal, as listed in Alexandria.

Values from the calculation:
**Uncorrected energy**: -27.10 eV for the cell shown
**Symmetry**: Pmmm, No. 47

Unit cell a=2.7257 b=3.9536 c=5.1100 alpha=90.00 beta=90.00 gamma=90.00
Fractional coordinates of all 4 atoms:
Cu: 0.0000 0.0000 0.2489
Cu: 0.0000 0.0000 0.7511
Mo: 0.5000 0.5000 0.5000
Ir: 0.5000 0.5000 0.0000